1.
Below is an optimized crystal structure of HfSi2Hg, with properties calculated at the PBEsol level.

Total DFT energy (no corrections), eV per atom: -5.443
Total magnetization, μB/atom: 0.00
Crystal system: tetragonal
Symmetry: I-42d

Cell lengths 5.8474, 5.8474, 5.8474 Å; angles 104.66, 104.66, 119.60 degrees
Closest atoms and distances in Å follow each position.
Atoms (fractional coordinates):
Hf1 0.0000 0.0000 0.0000  4 Si 2.71, 2 Hg 2.94
Hf2 0.7500 0.2500 0.5000  4 Si 2.71, 2 Hg 2.94
Si1 0.1408 0.6250 0.0158  2 Hg 2.56, 2 Hf 2.71
Si2 0.3750 0.3908 0.5158  2 Hg 2.56, 2 Hf 2.71
Si3 0.6092 0.1250 0.9842  2 Hg 2.56, 2 Hf 2.71
Si4 0.8750 0.8592 0.4842  2 Hg 2.56, 2 Hf 2.71
Hg1 0.2500 0.7500 0.5000  4 Si 2.56
Hg2 0.5000 0.5000 0.0000  4 Si 2.56

2.
Below is an optimized crystal structure of AgPb, with properties calculated at the PBEsol level.

Total magnetization, μB/atom: 0.00
Crystal system: monoclinic
Formation energy from the elements, meV/atom: 111
Symmetry: Cm

Cell lengths 5.7941, 5.7941, 7.9067 Å; angles 109.08, 109.08, 32.95 degrees
Closest atoms and distances in Å follow each position.
Atoms (fractional coordinates):
Ag1 0.0000 0.0000 0.0000  2 Ag 2.88, 5 Pb 3.02-3.05
Ag2 0.0789 0.0789 0.5248  2 Ag 2.91, 6 Pb 3.06-3.15
Ag3 0.4132 0.4132 0.2347  4 Ag 2.88-2.91, 3 Pb 3.00-3.09
Pb1 0.3925 0.3925 0.6555  6 Ag 3.05-3.41, 5 Pb 3.29-3.39
Pb2 0.6945 0.6945 0.2913  7 Ag 3.00-3.09, 3 Pb 3.29-3.32
Pb3 0.7115 0.7115 0.8803  7 Ag 3.02-3.36, 3 Pb 3.29-3.32

| no. | D(E_F) (states/eV/f.u.) |
| --- | --- |
| 1 | 1.8 |
| 2 | 0.7 |